Computed, not measured: LuCdPt2 after structural relaxation at the PBE level of DFT.

Computed properties:
**ΔE_f**: -0.021 eV/atom
**Electronic total energy**: -4.404 eV per atom
**Magnetization**: 0.01 μB per formula unit
**Calculated volume**: 26.4 A^3/atom

a b c (Å): 5.303 5.303 5.303
angles (deg): 60.00 60.00 60.00
Element x y z (fractional)
1 Lu 0.000 0.000 0.000
2 Cd 0.750 0.750 0.750
3 Pt 0.250 0.250 0.250
4 Pt 0.500 0.500 0.500